1.
# Ir2PdRu2

An optimized crystal structure of Ir2PdRu2 (PBE, the Alexandria database).

POSCAR file:
```
Ir2PdRu2
1.0
-6.1729 4.0332 1.3373
-3.3884 -6.0954 2.7430
0.9350 0.6035 2.4960
Ru Ir Pd
4 4 2
Cartesian
-5.3052 -3.8266 2.9126
-7.5264 -0.2535 2.8808
-4.2560 1.7643 1.1678
-2.0348 -1.8087 1.1996
-2.8685 -3.1001 3.3202
-6.4854 -2.0379 4.4183
-5.7577 1.6413 3.2562
-2.1408 0.5791 2.1581
0.0000 0.0000 0.0000
-4.7806 -1.0311 2.0402
```

Calculated values
Formation energy from the elements, eV per atom: 0.27
E above lowest polymorph, meV per atom: 19.4
V, Å³/cell: 153
DOS at the Fermi energy, states/eV/cell: 12.401

2.
# Bi2Te2O

An optimized crystal structure of Bi2Te2O (PBE, the Alexandria database).

POSCAR file:
```
Bi2Te2O
1.0
-3.3635 -0.2873 -2.9659
-1.3780 -3.8156 1.9324
-6.8700 1.9606 4.1970
Te Bi O
2 2 1
Cartesian
-3.1924 -1.3188 0.3441
-8.4191 -0.8235 2.8194
-6.3021 -0.1891 0.3572
-5.3093 -1.9532 2.8063
0.0000 0.0000 0.0000
```

Calculated values
Raw formation energy, eV/atom: 0.621
E above lowest polymorph, meV per atom: 1081.7
V, Å³/cell: 155
DOS at the Fermi energy, states/eV/cell: 5.008

3.
# KNaNF2

An optimized crystal structure of KNaNF2 (PBE, the Alexandria database).

POSCAR file:
```
KNaNF2
1.0
4.9711 0.0000 0.0000
0.0000 4.9711 0.0000
0.0000 0.0000 5.0114
Na K N F
1 1 1 2
Cartesian
2.4855 2.4855 2.5057
0.0000 0.0000 0.0000
0.0000 0.0000 2.5057
0.0000 2.4855 0.0000
2.4855 0.0000 0.0000
```

Calculated values
Raw formation energy, eV/atom: -0.579
E above lowest polymorph, meV per atom: 341.5
V, Å³/cell: 124

4.
# Ac2NpAl3O12

An optimized crystal structure of Ac2NpAl3O12 (PBE, the Alexandria database).

POSCAR file:
```
Ac2NpAl3O12
1.0
-5.9585 0.3646 -4.1541
-5.9701 -4.0605 0.8738
-6.4775 2.4898 2.1764
Ac Np Al O
2 1 3 12
Cartesian
-10.9635 -0.7184 -0.6575
-7.4427 -0.4877 -0.4464
0.0000 0.0000 0.0000
-2.9793 0.1823 -2.0770
-2.9851 -2.0302 0.4369
-3.2387 1.2449 1.0882
-9.8094 1.0457 0.8977
-13.1549 -2.5034 -2.2335
-13.4472 -1.3064 1.3319
-9.5087 -0.1856 -2.7701
-13.4407 1.1859 -1.4999
-9.5155 -2.7495 0.1430
-8.5968 -2.2518 -2.0016
-5.2512 1.2973 1.1296
-4.9590 0.1003 -2.4358
-8.8974 -1.0205 1.6662
-4.9655 -2.3920 0.3960
-8.8907 1.5434 -1.2470
```

Calculated values
Raw formation energy, eV/atom: -2.518
V, Å³/cell: 239
DOS at the Fermi energy, states/eV/cell: 4.695

5.
# Ag2OsPt

An optimized crystal structure of Ag2OsPt (PBE, the Alexandria database).

POSCAR file:
```
Ag2OsPt
1.0
3.9823 0.0000 0.0000
0.0000 2.7605 0.0045
0.0000 2.7366 5.9936
Os Ag Pt
1 2 1
Cartesian
0.0000 2.7498 3.1798
0.0000 2.7570 0.0407
1.9911 1.3716 1.4881
1.9911 4.1278 4.2930
```

Calculated values
Formation energy from the elements, eV per atom: 0.37
E above lowest polymorph, meV per atom: 116.9
V, Å³/cell: 66
DOS at the Fermi energy, states/eV/cell: 2.796

6.
# PuGaCo

An optimized crystal structure of PuGaCo (PBE, the Alexandria database).

POSCAR file:
```
PuGaCo
1.0
-0.5051 -1.3507 -4.1392
-3.3022 -3.3908 1.5095
-2.7765 4.0653 -0.9878
Ga Co Pu
2 2 2
Cartesian
-4.2104 -1.3075 -0.2199
-2.3734 0.6312 -3.3975
-3.1752 0.8143 -1.0387
-3.4086 -1.4906 -2.5788
-1.2116 -0.8977 -0.7196
-5.3722 0.2215 -2.8979
```

Calculated values
Formation energy from the elements, eV per atom: -0.22
V, Å³/cell: 106
DOS at the Fermi energy, states/eV/cell: 13.827

7.
# BaCIN2

An optimized crystal structure of BaCIN2 (PBE, the Alexandria database).

POSCAR file:
```
BaCIN2
1.0
-4.3202 -2.3545 1.9513
1.0800 -4.3345 -2.8392
3.8121 -2.5574 5.3542
I C Ba N
1 1 1 2
Cartesian
1.9060 -1.2787 2.6771
0.2859 -4.6232 2.2331
0.0000 0.0000 0.0000
0.5400 -2.1673 -1.4196
-2.1601 -1.1773 0.9756
```

Calculated values
Raw formation energy, eV/atom: 2.507
E above lowest polymorph, meV per atom: 655.4
V, Å³/cell: 198
DOS at the Fermi energy, states/eV/cell: 2.782

8.
# GaPd3Au

An optimized crystal structure of GaPd3Au (PBE, the Alexandria database).

POSCAR file:
```
GaPd3Au
1.0
-3.3714 -4.0146 -2.6593
4.6091 -0.5980 -4.9407
1.8922 -2.9981 2.1281
Ga Pd Au
2 6 2
Cartesian
0.7257 -4.5955 -1.0950
2.4042 -3.0152 -4.3769
2.9664 -3.7341 -1.8720
-1.7106 -3.6334 -1.5909
0.1636 -3.8765 -3.5998
4.8405 -3.9772 -3.8809
-0.6597 -6.2452 -2.1878
3.7896 -1.3654 -3.2841
2.3665 -5.6852 -4.0889
0.7634 -1.9254 -1.3830
```

Calculated values
Formation energy from the elements, eV per atom: -0.27
E above lowest polymorph, meV per atom: 99.8
V, Å³/cell: 165
DOS at the Fermi energy, states/eV/cell: 2.073

9.
# K3Mn3VS8

An optimized crystal structure of K3Mn3VS8 (PBE, the Alexandria database).

POSCAR file:
```
K3Mn3VS8
1.0
-4.4911 -5.3564 -1.6636
7.0265 -1.3032 0.7006
-4.1564 1.2557 7.2352
K Mn V S
3 3 1 8
Cartesian
0.0000 0.0000 0.0000
3.5132 -0.6516 0.3503
1.2677 -3.3298 -0.4815
-4.3238 -2.0503 2.7858
-0.8106 -2.7019 3.1361
1.4350 -0.0237 3.9679
-2.0782 0.6279 3.6176
1.2795 -1.7808 2.2666
-2.9006 -3.6230 4.0056
-0.9648 -4.4649 1.4446
-0.6563 -0.9389 4.8276
-4.4849 -3.8091 1.0935
2.8638 -1.5948 5.1787
-2.2349 -1.1238 1.9292
0.6138 -4.2800 4.3429
```

Calculated values
Raw formation energy, eV/atom: -0.827
V, Å³/cell: 329
DOS at the Fermi energy, states/eV/cell: 7.586

10.
# In7Cl

An optimized crystal structure of In7Cl (PBE, the Alexandria database).

POSCAR file:
```
In7Cl
1.0
-1.5856 -5.6491 3.4158
-0.8017 0.2196 6.7382
-6.1859 -0.7065 2.7074
In Cl
7 1
Cartesian
-1.1937 -2.7147 5.0770
-3.8857 -3.1778 3.0616
-0.7928 -2.8245 1.7079
-3.0929 -0.3532 1.3537
-0.4009 0.1098 3.3691
-3.4938 -0.2434 4.7228
-4.2866 -3.0680 6.4307
0.0000 0.0000 0.0000
```

Calculated values
Raw formation energy, eV/atom: -0.093
V, Å³/cell: 221
DOS at the Fermi energy, states/eV/cell: 1.287

11.
# AsOsBr2F

An optimized crystal structure of AsOsBr2F (PBE, the Alexandria database).

POSCAR file:
```
AsOsBr2F
1.0
-0.2592 -4.1574 -2.9128
2.0661 -2.7505 3.7419
-4.2744 -0.9156 1.6871
As Os Br F
1 1 2 1
Cartesian
-2.1372 -0.4578 0.8436
0.0000 0.0000 0.0000
1.0331 -1.3753 1.8710
-0.1296 -2.0787 -1.4564
-1.2337 -3.9118 1.2581
```

Calculated values
Raw formation energy, eV/atom: 0.333
E above lowest polymorph, meV per atom: 0.0
V, Å³/cell: 121
DOS at the Fermi energy, states/eV/cell: 4.943

12.
# ScReAuI2

An optimized crystal structure of ScReAuI2 (PBE, the Alexandria database).

POSCAR file:
```
ScReAuI2
1.0
-3.0934 -0.5144 4.5969
4.3011 -1.7938 2.6936
1.2745 5.2213 1.4420
I Re Au Sc
2 1 1 1
Cartesian
0.6373 2.6107 0.7210
-1.5467 -0.2572 2.2985
1.2411 1.4565 4.3663
0.0000 0.0000 0.0000
2.1506 -0.8969 1.3468
```

Calculated values
Raw formation energy, eV/atom: 1.370
V, Å³/cell: 167
DOS at the Fermi energy, states/eV/cell: 3.136